{"formula": "VAuO2", "functional": "GGA+U", "state": "optimized geometry", "cell": [[2.1410, 0.0000, 5.5811], [-1.0705, 1.8541, 5.5811], [-1.0705, -1.8541, 5.5811]], "species": ["O", "O", "Au", "V"], "fractional_positions": [[0.8910, 0.8910, 0.8910], [0.1090, 0.1090, 0.1090], [0.5000, 0.5000, 0.5000], [0.0000, 0.0000, 0.0000]], "spacegroup": "R-3m", "magmom_total_mub_per_cell": 2.4, "e_tot_ha_per_atom": -0.1943, "rho_kg_m3": 6993}